Record 1
Compound: RbSiNi2Hg
Source: Alexandria via LeMat-Bulk
Functional: PBE
Structure: optimized geometry Values from VASP.

Cell and atoms, written as Quantum ESPRESSO input:
```
&SYSTEM
  ibrav = 0, nat = 5, ntyp = 4
/
ATOMIC_SPECIES
Ni 58.69 Ni.upf
Si 28.09 Si.upf
Hg 200.59 Hg.upf
Rb 85.47 Rb.upf
CELL_PARAMETERS angstrom
-1.175 -1.831 -4.425
5.742 -0.380 -1.368
0.139 -4.567 1.853
ATOMIC_POSITIONS angstrom
Ni 0.070 -2.284 0.926
Ni -0.588 -0.915 -2.212
Si 2.353 -3.389 -1.970
Hg 0.000 0.000 0.000
Rb 2.871 -0.190 -0.684
```

Output
magnetization = 0.42 μB/f.u.
symmetry = No. 123
formation energy from raw total energies = 1358 meV per atom

---

Record 2
Compound: RbNiSnHg2
Source: Alexandria via LeMat-Bulk
Functional: PBE
Structure: optimized geometry Values from VASP.

Cell and atoms, written as Quantum ESPRESSO input:
```
&SYSTEM
  ibrav = 0, nat = 5, ntyp = 4
/
ATOMIC_SPECIES
Ni 58.69 Ni.upf
Hg 200.59 Hg.upf
Rb 85.47 Rb.upf
Sn 118.71 Sn.upf
CELL_PARAMETERS angstrom
5.286 0.000 0.000
0.000 5.286 0.000
0.000 0.000 4.968
ATOMIC_POSITIONS angstrom
Ni 0.000 0.000 0.000
Hg 0.000 2.643 0.000
Hg 2.643 0.000 0.000
Rb 2.643 2.643 2.484
Sn 0.000 0.000 2.484
```

Output
energy relative to the elements = -0.09 eV/atom
magnetization = 0.00 μB/f.u.
symmetry = No. 123